A relaxed structure of NiPt2Rh, computed with PBE.

Output
Total DFT energy (no corrections) in eV/atom: -6.359
Spin magnetization in μB/atom: 0.4301
DOS(E_F) in states/eV/atom: 1.52
ΔH_f (0 K) in eV/atom: -0.056

```
data_NiPt2Rh
_space_group_name_H-M_alt 'C m m m'
_space_group_IT_number 65
_space_group_name_Hall '-C 2 2'
_cell_length_a 5.446
_cell_length_b 7.695
_cell_length_c 2.734
_cell_angle_alpha 90.00
_cell_angle_beta 90.00
_cell_angle_gamma 90.00
loop_
_atom_site_label
_atom_site_type_symbol
_atom_site_fract_x
_atom_site_fract_y
_atom_site_fract_z
_atom_site_occupancy
Ni1 Ni 0.000 0.000 0.000 1
Pt1 Pt 0.250 0.250 0.500 1
Rh1 Rh 0.000 0.500 0.000 1
```